[1]
11
Lattice="10.937 0.000 0.000 -5.468 9.472 0.000 0.000 0.000 3.433" Properties=species:S:1:pos:R:3 comment="PBE Ce3Tm3Pb5, relaxed" spacegroup=P-62m ef_ev_per_atom=0.172 pbc="T T T"
Ce -0.828 1.434 0.000
Ce 1.656 0.000 0.000
Ce 4.641 8.038 0.000
Tm -2.242 3.884 1.717
Tm 4.485 0.000 1.717
Tm 3.226 5.588 1.717
Pb -3.775 6.539 1.717
Pb 1.693 2.932 1.717
Pb 0.000 6.314 1.717
Pb 5.468 3.157 1.717
Pb 7.551 0.000 1.717

***

[2]
10
Lattice="4.044 0.000 0.000 0.000 4.044 0.000 0.000 0.000 9.989" Properties=species:S:1:pos:R:3 comment="PBE Dy2BeSi4Rh3, relaxed" formation_energy_uncorrected_mev_per_atom=-870.5 spacegroup=P-4m2 pbc="T T T"
Dy 0.000 2.022 2.478
Dy 2.022 0.000 7.512
Be 2.022 2.022 0.000
Si 0.000 0.000 4.995
Si 0.000 2.022 8.671
Si 2.022 0.000 1.318
Si 2.022 2.022 4.995
Rh 0.000 0.000 0.000
Rh 0.000 2.022 6.280
Rh 2.022 0.000 3.709

***

[3]
8
Lattice="7.444 0.000 0.000 0.000 4.409 0.000 -2.587 0.000 7.178" Properties=species:S:1:pos:R:3 comment="PBE TbHoAg2Te4, relaxed" formation_energy_uncorrected_mev_per_atom=-830.8 spacegroup=P2/m pbc="T T T"
Tb 0.000 0.000 0.000
Ho -1.293 2.204 3.589
Ag 2.429 0.000 3.589
Ag 3.722 2.204 0.000
Te -0.051 0.000 5.374
Te 1.240 2.204 1.811
Te 3.618 2.204 5.367
Te 4.908 0.000 1.804

***

[4]
4
Lattice="2.110 1.218 7.103 -2.110 1.218 7.103 0.000 -2.436 7.103" Properties=species:S:1:pos:R:3 comment="PBE SrPrSeS, relaxed" formation_energy_uncorrected_mev_per_atom=-1982.5 spacegroup=R3m pbc="T T T"
Sr 0.000 0.000 0.000
Pr 0.000 0.000 10.819
Se 0.000 0.000 16.114
S 0.000 0.000 5.368